No. 1
DFT (PBE) results for a geometry-optimized U3Mn structure.

abc: 2.917 10.118 4.961
angles: 90.00 90.00 90.00
Space group Imm2 (No. 44)
Unique sites:
U 0.000 0.000 0.000 x2
U 0.000 0.201 0.649 x4
Mn 0.000 0.500 0.942 x2

Results
As for the formation energy: 126 meV/atom. The calculated total energy comes out at -10.632 eV per atom. Its magnetization is 0.00 μB per cell.

---

No. 2
DFT (PBE) results for a geometry-optimized U2Mn3 structure.

abc: 4.425 5.291 7.742
angles: 85.62 78.21 65.56
Space group P1 (No. 1)
Unique sites:
U 0.000 0.000 0.000 x1
U 0.024 0.482 0.684 x1
U 0.662 0.134 0.491 x1
U 0.708 0.620 0.189 x1
Mn 0.138 0.149 0.365 x1
Mn 0.211 0.643 0.311 x1
Mn 0.333 0.795 0.585 x1
Mn 0.443 0.253 0.088 x1
Mn 0.479 0.972 0.841 x1
Mn 0.550 0.473 0.820 x1

Results
As for the formation energy: 12 meV/atom. The calculated total energy comes out at -10.005 eV per atom. Its magnetization is 0.88 μB per cell.

---

No. 3
DFT (PBE) results for a geometry-optimized UMnV structure.

abc: 4.2776 4.2776 2.7357
angles: 90.00 90.00 120.00
Space group P3m1 (No. 156)
Unique sites:
U 0.0000 0.0000 0.0000 x1
Mn 0.6667 0.3333 0.7146 x1
V 0.3333 0.6667 0.2447 x1

Results
As for the formation energy: 129 meV/atom. The calculated total energy comes out at -9.729 eV per atom. Its magnetization is 0.00 μB per cell.

---

No. 4
DFT (PBE) results for a geometry-optimized UMnV structure.

abc: 3.507 3.507 7.643
angles: 90.00 90.00 90.00
Space group I4mm (No. 107)
Unique sites:
U 0.000 0.000 0.000 x2
Mn 0.000 0.000 0.301 x2
V 0.000 0.000 0.692 x2

Results
As for the formation energy: 288 meV/atom. The calculated total energy comes out at -9.571 eV per atom. Its magnetization is 0.26 μB per cell.

---

No. 5
DFT (PBE) results for a geometry-optimized UMnV structure.

abc: 2.8012 2.8012 20.8935
angles: 90.00 90.00 120.00
Space group R3m (No. 160, hexagonal axes)
Unique sites:
U 0.0000 0.0000 0.0000 x3
Mn 0.0000 0.0000 0.1146 x3
V 0.0000 0.0000 0.2121 x3

Results
As for the formation energy: 501 meV/atom. The calculated total energy comes out at -9.358 eV per atom. Its magnetization is 0.00 μB per cell.

---

No. 6
DFT (PBE) results for a geometry-optimized UMn2W structure.

abc: 2.8525 2.8525 26.6937
angles: 90.00 90.00 120.00
Space group R-3m (No. 166, hexagonal axes)
Unique sites:
U 0.0000 0.0000 0.0000 x3
Mn 0.0000 0.0000 0.2418 x6
W 0.0000 0.0000 0.5000 x3

Results
As for the formation energy: 414 meV/atom. The calculated total energy comes out at -10.231 eV per atom. Its magnetization is 7.95 μB per cell.

---

No. 7
DFT (PBE) results for a geometry-optimized UMnW structure.

abc: 4.4093 4.4093 5.6833
angles: 90.00 90.00 120.00
Space group P-3m1 (No. 164)
Unique sites:
U 0.3333 0.6667 0.4126 x2
Mn 0.3333 0.6667 0.9680 x2
W 0.0000 0.0000 0.2301 x2

Results
As for the formation energy: 320 meV/atom. The calculated total energy comes out at -10.817 eV per atom. Its magnetization is 0.00 μB per cell.

---

No. 8
DFT (PBE) results for a geometry-optimized UMn2W structure.

abc: 2.923 2.923 6.965
angles: 90.00 90.00 90.00
Space group P4/mmm (No. 123)
Unique sites:
U 0.000 0.000 0.000 x1
Mn 0.500 0.500 0.287 x2
W 0.000 0.000 0.500 x1

Results
As for the formation energy: 72 meV/atom. The calculated total energy comes out at -10.573 eV per atom. Its magnetization is 0.00 μB per cell.

---

No. 9
DFT (PBE) results for a geometry-optimized YUMn17 structure.

abc: 8.5717 8.5717 11.5926
angles: 90.00 90.00 120.00
Space group R3m (No. 160, hexagonal axes)
Unique sites:
Y 0.0000 0.0000 0.0000 x3
U 0.0000 0.0000 0.7070 x3
Mn 0.0000 0.0000 0.2542 x3
Mn 0.0000 0.0000 0.4566 x3
Mn 0.0015 0.2746 0.3524 x18
Mn 0.0038 0.5019 0.8503 x9
Mn 0.0204 0.5102 0.2213 x9
Mn 0.1670 0.3340 0.8226 x9

Results
As for the formation energy: 35 meV/atom. The calculated total energy comes out at -9.104 eV per atom. Its magnetization is 11.85 μB per cell.

---

No. 10
DFT (PBE) results for a geometry-optimized YU2Mn9 structure.

abc: 8.164 8.164 5.246
angles: 90.00 90.00 90.00
Space group P4/mbm (No. 127)
Unique sites:
Y 0.000 0.000 0.000 x2
U 0.113 0.387 0.000 x4
Mn 0.000 0.500 0.500 x2
Mn 0.068 0.208 0.500 x8
Mn 0.185 0.685 0.251 x8

Results
As for the formation energy: 51 meV/atom. The calculated total energy comes out at -9.246 eV per atom. Its magnetization is 5.25 μB per cell.

---

No. 11
DFT (PBE) results for a geometry-optimized U2MnZn structure.

abc: 2.8873 2.8873 31.2932
angles: 90.00 90.00 120.00
Space group R-3m (No. 166, hexagonal axes)
Unique sites:
U 0.0000 0.0000 0.0975 x6
Mn 0.0000 0.0000 0.5000 x3
Zn 0.0000 0.0000 0.0000 x3

Results
As for the formation energy: 461 meV/atom. The calculated total energy comes out at -7.794 eV per atom. Its magnetization is 4.82 μB per cell.

---

No. 12
DFT (PBE) results for a geometry-optimized U2Mn3Zn2 structure.

abc: 11.834 4.372 4.713
angles: 90.00 105.69 90.00
Space group C2/m (No. 12)
Unique sites:
U 0.142 0.000 0.254 x4
Mn 0.000 0.000 0.500 x2
Mn 0.206 0.000 0.874 x4
Zn 0.080 0.500 0.753 x4

Results
As for the formation energy: -77 meV/atom. The calculated total energy comes out at -7.596 eV per atom. Its magnetization is 0.00 μB per cell.

---

No. 13
DFT (PBE) results for a geometry-optimized UMnZn4 structure.

abc: 7.402 7.402 7.402
angles: 90.00 90.00 90.00
Space group F-43m (No. 216)
Unique sites:
U 0.000 0.000 0.000 x4
Mn 0.250 0.250 0.250 x4
Zn 0.124 0.124 0.624 x16

Results
As for the formation energy: 217 meV/atom. The calculated total energy comes out at -4.042 eV per atom. Its magnetization is 20.75 μB per cell.